CoSn2F11: optimized geometry, PBE+U.

The structure in POSCAR format:
```
CoSn2F11
1.0
7.033 0.000 3.666
3.303 7.026 2.243
0.263 -0.203 8.074
F Sn Co
22 4 2
direct
0.863 0.456 0.213
0.142 0.221 0.779
0.858 0.779 0.221
0.205 0.497 0.248
0.050 0.248 0.497
0.968 0.956 0.713
0.705 0.748 0.997
0.000 0.000 0.000
0.637 0.287 0.044
0.137 0.544 0.787
0.358 0.721 0.279
0.468 0.213 0.456
0.363 0.713 0.956
0.500 0.500 0.500
0.032 0.044 0.287
0.532 0.787 0.544
0.950 0.752 0.503
0.642 0.279 0.721
0.450 0.003 0.252
0.295 0.252 0.003
0.550 0.997 0.748
0.795 0.503 0.752
0.111 0.807 0.193
0.889 0.193 0.807
0.389 0.307 0.693
0.611 0.693 0.307
0.750 0.750 0.750
0.250 0.250 0.250
```

Values from the calculation:
Size of the total moment in Bohr magnetons per cell: 8.08
Total energy in eV/atom: -4.536